CsSr2Hg2 after structural relaxation. Source: the Alexandria database, functional PBE-GGA.

Theoretical density (Mg/m³): 5.2
E_form (eV/atom): -0.22
Space-group type: I4/mmm, No. 139

a = 5.6857 Å, b = 5.6857 Å, c = 8.0585 Å
α = 69.34°, β = 69.34°, γ = 90.00°
Fractional coordinates of all 5 atoms:
Sr1 0.7500 0.2500 0.5000
Sr2 0.2500 0.7500 0.5000
Cs1 0.0000 0.0000 0.0000
Hg1 0.3894 0.3894 0.2212
Hg2 0.6106 0.6106 0.7788